1.
Computed, not measured: a geometry-optimized Pm5CdCo2 structure at the PBE level of DFT.

Cell lengths 7.856, 7.856, 8.768 Å; angles 116.62, 116.62, 90.00 degrees
Sites, in units of the cell vectors:
Pm1 0.529 0.708 0.738
Pm2 0.292 0.792 0.262
Pm3 0.000 0.000 0.000
Pm4 0.971 0.471 0.262
Pm5 0.708 0.208 0.738
Pm6 0.208 0.029 0.738
Pm7 0.471 0.292 0.262
Pm8 0.792 0.971 0.262
Pm9 0.029 0.529 0.738
Pm10 0.500 0.500 0.000
Cd1 0.250 0.250 0.500
Cd2 0.750 0.750 0.500
Co1 0.367 0.867 0.000
Co2 0.633 0.133 0.000
Co3 0.867 0.633 0.000
Co4 0.133 0.367 0.000

Output
- energy of formation from the pure elements (eV per atom) = -0.13
- spin magnetization (μB/atom) = 0.00
- theoretical density (kg/m³) = 7578
- VASP energy (eV per atom) = -4.995
- space group = No. 140

---

2.
Computed, not measured: a geometry-optimized CdReP structure at the PBE level of DFT.

Cell lengths 8.244, 8.025, 2.866 Å; angles 84.21, 75.56, 20.23 degrees
Sites, in units of the cell vectors:
Re1 0.316 0.316 0.684
P1 0.706 0.706 0.294
Cd1 0.978 0.978 0.022

Output
- energy of formation from the pure elements (eV per atom) = 0.38
- spin magnetization (μB/atom) = 0.00
- theoretical density (kg/m³) = 9393
- VASP energy (eV per atom) = -5.881
- space group = No. 42

---

Question: theoretical density of number 1 (Pm5CdCo2)?
Answer: 7578 kg/m³

---

Question: Which value of theoretical density does entry 1 give?
Answer: 7578 kg/m³

---

Question: Which of these has the highest energy of formation from the pure elements?
Answer: CdReP

---

Question: Which of these has the highest theoretical density?
Answer: CdReP